## BaLa2Hg2 (PBE-GGA)

Data for crystalline BaLa2Hg2 at its relaxed geometry.

The structure in POSCAR format:
```
BaLa2Hg2
1.0
-0.7692 -6.0691 -7.1301
2.9726 -6.9423 5.5886
-3.5192 -0.7128 0.9864
Hg La Ba
4 4 2
direct
0.8250 0.3250 0.5000
0.1750 0.6750 0.5000
0.3250 0.1750 0.5000
0.6750 0.8250 0.5000
0.3798 0.8798 0.0000
0.6202 0.1202 0.0000
0.1202 0.3798 0.0000
0.8798 0.6202 0.0000
0.5000 0.5000 0.0000
0.0000 0.0000 0.0000
```

Properties
Density, g/cm3: 8.25
DOS(E_F), states/eV per cell: 10.07
Space group: No. 127
Energy of formation from the pure elements, eV/atom: -0.340

***

## BaLa2Hg (PBE-GGA)

Data for crystalline BaLa2Hg at its relaxed geometry.

The structure in POSCAR format:
```
BaLa2Hg
1.0
7.2796 0.0014 0.0193
6.2063 3.8044 0.0193
2.4392 0.6884 5.4217
Ba Hg La
1 1 2
direct
0.7500 0.7500 0.7500
0.2500 0.2500 0.2500
0.5380 0.5380 0.4616
0.9620 0.9620 0.0384
```

Properties
Density, g/cm3: 6.82
DOS(E_F), states/eV per cell: 5.76
Space group: No. 12
Energy of formation from the pure elements, eV/atom: -0.188

***

## BaLiLa2Hg4 (PBE-GGA)

Data for crystalline BaLiLa2Hg4 at its relaxed geometry.

The structure in POSCAR format:
```
BaLiLa2Hg4
1.0
-1.1465 4.9918 1.7188
-3.9537 0.7762 3.5989
4.5851 0.9137 8.8951
Ba Hg La Li
1 4 2 1
direct
0.0000 0.0000 0.0000
0.3969 0.3969 0.8092
0.1264 0.1264 0.6209
0.8736 0.8736 0.3791
0.6031 0.6031 0.1908
0.2377 0.2377 0.2868
0.7623 0.7623 0.7132
0.5000 0.5000 0.5000
```

Properties
Density, g/cm3: 8.42
DOS(E_F), states/eV per cell: 5.78
Space group: No. 166
Energy of formation from the pure elements, eV/atom: -0.434

***

## BaLaHg2Mo (PBE-GGA)

Data for crystalline BaLaHg2Mo at its relaxed geometry.

The structure in POSCAR format:
```
BaLaHg2Mo
1.0
5.9865 0.0000 0.0000
0.0000 6.3329 0.0000
0.0000 0.0000 5.9865
Hg Mo La Ba
2 1 1 1
direct
0.0000 0.0000 0.5000
0.5000 0.0000 0.0000
0.5000 0.5000 0.5000
0.0000 0.5000 0.0000
0.0000 0.0000 0.0000
```

Properties
Density, g/cm3: 5.66
DOS(E_F), states/eV per cell: 4.53
Space group: No. 123
Energy of formation from the pure elements, eV/atom: 1.522

***

## BaNaLa2Hg4 (PBE-GGA)

Data for crystalline BaNaLa2Hg4 at its relaxed geometry.

The structure in POSCAR format:
```
BaNaLa2Hg4
1.0
-1.7100 4.7774 2.0688
0.3090 0.9177 5.3935
8.2178 5.4868 1.3793
Na Hg La Ba
1 4 2 1
direct
0.5000 0.5000 0.5000
0.1260 0.1260 0.6220
0.3885 0.3885 0.8344
0.8740 0.8740 0.3780
0.6115 0.6115 0.1656
0.2408 0.2408 0.2777
0.7592 0.7592 0.7223
0.0000 0.0000 0.0000
```

Properties
Density, g/cm3: 8.37
DOS(E_F), states/eV per cell: 6.27
Space group: No. 166
Energy of formation from the pure elements, eV/atom: -0.410

***

## BaNaLaHg (PBE-GGA)

Data for crystalline BaNaLaHg at its relaxed geometry.

The structure in POSCAR format:
```
BaNaLaHg
1.0
5.8630 0.0000 0.0000
2.9315 5.0775 0.0000
2.9315 1.6925 4.7871
Hg Ba La Na
1 1 1 1
direct
0.7500 0.7500 0.7500
0.5000 0.5000 0.5000
0.0000 0.0000 0.0000
0.2500 0.2500 0.2500
```

Properties
Density, g/cm3: 5.82
DOS(E_F), states/eV per cell: 4.41
Space group: No. 216
Energy of formation from the pure elements, eV/atom: -0.084

***

## BaLa2NdHg4 (PBE-GGA)

Data for crystalline BaLa2NdHg4 at its relaxed geometry.

The structure in POSCAR format:
```
BaLa2NdHg4
1.0
5.5782 0.0000 0.0000
2.7891 4.8309 0.0000
2.7891 1.6103 9.2232
Hg Nd Ba La
4 1 1 2
direct
0.6177 0.6177 0.1469
0.1294 0.1294 0.6118
0.3823 0.3823 0.8531
0.8706 0.8706 0.3882
0.5000 0.5000 0.5000
0.0000 0.0000 0.0000
0.2488 0.2488 0.2536
0.7512 0.7512 0.7464
```

Properties
Density, g/cm3: 9.10
DOS(E_F), states/eV per cell: 7.77
Space group: No. 166
Energy of formation from the pure elements, eV/atom: -0.465

***

## BaLa2NiHg (PBE-GGA)

Data for crystalline BaLa2NiHg at its relaxed geometry.

The structure in POSCAR format:
```
BaLa2NiHg
1.0
-5.0538 1.0857 -1.9062
-2.1779 -3.0573 4.0328
-0.2527 4.2769 3.1060
Ni La Ba Hg
1 2 1 1
direct
0.0000 0.0000 0.0000
0.5000 0.0000 0.0000
0.0000 0.5000 0.0000
0.5000 0.5000 0.5000
0.0000 0.0000 0.5000
```

Properties
Density, g/cm3: 6.97
DOS(E_F), states/eV per cell: 5.84
Space group: No. 123
Energy of formation from the pure elements, eV/atom: -0.108